No. 1
Compound: MgTl
Source: Alexandria
Functional: GGA-PBE
Structure: optimized geometry

Calculated values
total moment = 0.00 Bohr magnetons per cell
energy of formation = 0.4572 eV per atom
D(E_F) = 0.912 states/eV per atom
crystal system = cubic

a = 4.7254 Å, b = 4.7254 Å, c = 4.7254 Å
α = 60.00°, β = 60.00°, γ = 60.00°
Atoms (fractional coordinates):
Tl 0.7500 0.7500 0.7500
Mg 0.0000 0.0000 0.0000

No. 2
Compound: NbTeHPdICl
Source: Alexandria
Functional: GGA-PBE
Structure: optimized geometry

Calculated values
total moment = 0.00 Bohr magnetons per cell
D(E_F) = 0.196 states/eV per atom
energy relative to the lowest polymorph listed for this composition = 0.0851 eV/atom
crystal system = triclinic

a = 3.5142 Å, b = 6.4988 Å, c = 7.4724 Å
α = 111.02°, β = 90.31°, γ = 90.22°
Atoms (fractional coordinates):
I 0.1381 0.9424 0.5003
Cl 0.1411 0.6784 0.8888
Pd 0.1463 0.2486 0.8653
Nb 0.6406 0.8832 0.7662
Te 0.6494 0.2330 0.1287
H 0.6369 0.6125 0.5879

No. 3
Compound: FeSbAs
Source: Alexandria
Functional: GGA-PBE
Structure: optimized geometry

Calculated values
total moment = 1.80 Bohr magnetons per cell
D(E_F) = 0.449 states/eV per atom
energy relative to the lowest polymorph listed for this composition = 0.1269 eV/atom
uncorrected formation energy = -0.01 eV/f.u.
crystal system = monoclinic

a = 5.8867 Å, b = 3.2176 Å, c = 6.0867 Å
α = 90.00°, β = 98.14°, γ = 90.00°
Atoms (fractional coordinates):
Sb 0.5831 0.0000 0.9837
Sb 0.4850 0.5000 0.4658
Fe 0.2566 0.5000 0.0536
As 0.0753 0.0000 0.2711
Fe 0.2296 0.0000 0.6751
As 0.9615 0.5000 0.7562

No. 4
Compound: PbSeBr2N
Source: Alexandria
Functional: GGA-PBE
Structure: optimized geometry

Calculated values
total moment = 4.95 Bohr magnetons per cell
D(E_F) = 0.837 states/eV per atom
energy relative to the lowest polymorph listed for this composition = 0.3474 eV/atom
uncorrected formation energy = 4.71 eV/f.u.
crystal system = tetragonal

a = 6.1286 Å, b = 6.1286 Å, c = 5.1840 Å
α = 90.00°, β = 90.00°, γ = 90.00°
Atoms (fractional coordinates):
Br 0.5000 0.0000 0.0000
Se 0.5000 0.5000 0.5000
Br 0.0000 0.5000 0.0000
N 0.0000 0.0000 0.5000
Pb 0.0000 0.0000 0.0000

No. 5
Compound: PmTc2B2
Source: Alexandria
Functional: GGA-PBE
Structure: optimized geometry

Calculated values
total moment = 0.00 Bohr magnetons per cell
energy of formation = -0.2736 eV per atom
D(E_F) = 0.861 states/eV per atom
crystal system = orthorhombic

a = 5.7759 Å, b = 5.7759 Å, c = 5.9024 Å
α = 110.78°, β = 110.78°, γ = 105.95°
Atoms (fractional coordinates):
Tc 0.5101 0.2602 0.0204
B 0.4258 0.0742 0.2500
Tc 0.2398 0.9899 0.4796
B 0.8243 0.6757 0.2500
Pm 0.1250 0.3750 0.2500
Tc 0.4899 0.7398 0.9796
Tc 0.7602 0.0101 0.5204
B 0.5742 0.9258 0.7500
B 0.1757 0.3243 0.7500
Pm 0.8750 0.6250 0.7500

No. 6
Compound: Ca4BiSbBr2
Source: Alexandria
Functional: GGA-PBE
Structure: optimized geometry

Calculated values
total moment = 0.00 Bohr magnetons per cell
uncorrected formation energy = -10.43 eV/f.u.
crystal system = monoclinic

a = 4.6065 Å, b = 7.6694 Å, c = 7.9924 Å
α = 69.69°, β = 90.00°, γ = 90.00°
Atoms (fractional coordinates):
Ca 0.0000 0.7237 0.7555
Ca 0.5000 0.2778 0.7378
Sb 0.0000 0.5000 0.5000
Ca 0.0000 0.2763 0.2445
Br 0.5000 0.0000 0.5000
Ca 0.5000 0.7222 0.2622
Bi 0.5000 0.5000 0.0000
Br 0.0000 0.0000 0.0000

No. 7
Compound: Y6N2O5
Source: Alexandria
Functional: GGA-PBE
Structure: optimized geometry

Calculated values
total moment = 0.00 Bohr magnetons per cell
D(E_F) = 0.203 states/eV per atom
uncorrected formation energy = -35.25 eV/f.u.
crystal system = monoclinic

a = 5.9330 Å, b = 5.9330 Å, c = 7.6176 Å
α = 82.24°, β = 82.24°, γ = 47.65°
Atoms (fractional coordinates):
Y 0.1453 0.1453 0.5765
Y 0.4348 0.4348 0.7161
O 0.7714 0.7714 0.1452
O 0.9202 0.9202 0.7020
Y 0.7092 0.7092 0.8604
O 0.5000 0.5000 0.0000
O 0.0798 0.0798 0.2980
Y 0.8547 0.8547 0.4235
Y 0.2908 0.2908 0.1396
N 0.3576 0.3576 0.4244
O 0.2286 0.2286 0.8548
Y 0.5652 0.5652 0.2839
N 0.6424 0.6424 0.5756

No. 8
Compound: Li2LaGa4
Source: Alexandria
Functional: GGA-PBE
Structure: optimized geometry

Calculated values
total moment = 0.00 Bohr magnetons per cell
energy of formation = -0.4969 eV per atom
D(E_F) = 0.214 states/eV per atom
crystal system = trigonal

a = 4.3594 Å, b = 4.3594 Å, c = 8.5124 Å
α = 75.16°, β = 75.16°, γ = 60.00°
Atoms (fractional coordinates):
Ga 0.7437 0.7437 0.7688
Ga 0.5631 0.5631 0.3108
Ga 0.4370 0.4370 0.6892
Li 0.1435 0.1435 0.5696
Li 0.8565 0.8565 0.4304
Ga 0.2563 0.2563 0.2312
La 0.0000 0.0000 0.0000

No. 9
Compound: Cd2Bi2Pt
Source: Alexandria
Functional: GGA-PBE
Structure: optimized geometry

Calculated values
total moment = 0.00 Bohr magnetons per cell
energy of formation = 0.0977 eV per atom
D(E_F) = 0.251 states/eV per atom
energy relative to the lowest polymorph listed for this composition = 0.2155 eV/atom
crystal system = tetragonal

a = 7.3916 Å, b = 7.3916 Å, c = 5.0014 Å
α = 90.00°, β = 90.00°, γ = 90.00°
Atoms (fractional coordinates):
Cd 0.6555 0.8445 0.5000
Pt 0.5000 0.5000 0.0000
Cd 0.1555 0.6555 0.5000
Cd 0.8445 0.3445 0.5000
Bi 0.6601 0.1601 0.0000
Bi 0.1601 0.3399 0.0000
Bi 0.3399 0.8399 0.0000
Bi 0.8399 0.6601 0.0000
Cd 0.3445 0.1555 0.5000
Pt 0.0000 0.0000 0.0000

No. 10
Compound: Ag2HgW
Source: Alexandria
Functional: GGA-PBE
Structure: optimized geometry

Calculated values
total moment = 0.00 Bohr magnetons per cell
energy of formation = 0.6554 eV per atom
D(E_F) = 0.731 states/eV per atom
crystal system = monoclinic

a = 4.8702 Å, b = 2.7824 Å, c = 5.3663 Å
α = 86.92°, β = 90.00°, γ = 90.00°
Atoms (fractional coordinates):
W 0.5000 0.7500 0.7500
Ag 0.0000 0.0326 0.9864
Ag 0.0000 0.4674 0.5136
Hg 0.5000 0.2500 0.2500

No. 11
Compound: TbTm5S6
Source: Alexandria
Functional: GGA-PBE
Structure: optimized geometry

Calculated values
total moment = 0.00 Bohr magnetons per cell
D(E_F) = 0.341 states/eV per atom
uncorrected formation energy = -23.34 eV/f.u.
crystal system = monoclinic

a = 6.6655 Å, b = 6.6776 Å, c = 6.6898 Å
α = 60.06°, β = 80.33°, γ = 70.34°
Atoms (fractional coordinates):
S 0.7486 0.7455 0.0000
Tm 0.5000 0.5000 0.0000
S 0.2514 0.2545 0.0000
Tm 0.0000 0.3340 0.3320
S 0.7467 0.0842 0.3387
S 0.2533 0.9158 0.6613
S 0.2533 0.5770 0.3387
Tm 0.0000 0.6660 0.6680
S 0.7467 0.4230 0.6613
Tm 0.5000 0.8361 0.3277
Tb 0.0000 0.0000 0.0000
Tm 0.5000 0.1639 0.6723

No. 12
Compound: TeP2Ir
Source: Alexandria
Functional: GGA-PBE
Structure: optimized geometry

Calculated values
total moment = 0.00 Bohr magnetons per cell
D(E_F) = 0.639 states/eV per atom
uncorrected formation energy = 0.93 eV/f.u.
crystal system = tetragonal

a = 4.5204 Å, b = 4.5214 Å, c = 4.5212 Å
α = 70.26°, β = 71.07°, γ = 109.74°
Atoms (fractional coordinates):
Ir 0.5000 0.5000 0.0000
P 0.5000 0.0000 0.5000
Te 0.0000 0.5000 0.5000
P 0.0000 0.0000 0.0000

No. 13
Compound: Cs12K3Rb5
Source: Alexandria
Functional: GGA-PBE
Structure: optimized geometry

Calculated values
total moment = 0.00 Bohr magnetons per cell
energy of formation = 0.1458 eV per atom
D(E_F) = 0.859 states/eV per atom
crystal system = cubic

a = 23.9740 Å, b = 23.9740 Å, c = 23.9740 Å
α = 109.47°, β = 109.47°, γ = 109.47°
Atoms (fractional coordinates):
Cs 0.5687 0.9342 0.6659
Cs 0.6345 0.5687 0.9028
Cs 0.2683 0.8655 0.9342
Cs 0.4342 0.7683 0.8655
K 0.8750 0.1250 0.2500
Cs 0.8341 0.9313 0.0658
Rb 0.0000 0.0000 0.5000
Cs 0.9342 0.3655 0.2683
Cs 0.1345 0.4028 0.0687
Cs 0.2683 0.4028 0.8341
Cs 0.9028 0.0687 0.6345
Rb 0.0000 0.5000 0.0000
Cs 0.4028 0.2683 0.3341
Cs 0.6659 0.4342 0.5687
Cs 0.2317 0.6659 0.0972
K 0.2500 0.6250 0.8750
Cs 0.9342 0.5687 0.1659
Cs 0.7683 0.4342 0.3655
Cs 0.3655 0.4313 0.0972
Cs 0.1659 0.0687 0.9342
K 0.3750 0.6250 0.2500
Cs 0.5658 0.2317 0.1345
Cs 0.4028 0.1345 0.5687
Rb 0.5000 0.0000 0.5000
Rb 0.3750 0.1250 0.7500
Rb 0.1250 0.7500 0.3750
Cs 0.0687 0.1659 0.4342
Rb 0.5000 0.5000 0.5000
K 0.1250 0.2500 0.8750
Rb 0.2500 0.3750 0.6250
Rb 0.8750 0.2500 0.6250
Cs 0.3341 0.7683 0.4028
Cs 0.9313 0.0972 0.8655
Cs 0.4313 0.0658 0.3341
Cs 0.4342 0.6659 0.0687
Cs 0.8341 0.9028 0.2683
Cs 0.8655 0.5972 0.9313
K 0.1250 0.8750 0.7500
Cs 0.0972 0.9313 0.3655
Rb 0.7500 0.1250 0.8750
Rb 0.3750 0.2500 0.1250
Cs 0.0687 0.9028 0.1345
Cs 0.5687 0.6345 0.4028
Rb 0.6250 0.7500 0.8750
K 0.8750 0.7500 0.1250
Cs 0.9028 0.8341 0.7683
Cs 0.5658 0.3341 0.9313
Rb 0.7500 0.6250 0.3750
Cs 0.0658 0.4313 0.8341
K 0.7500 0.3750 0.1250
Cs 0.0658 0.6345 0.7317
Rb 0.5000 0.5000 0.0000
Cs 0.5972 0.7317 0.6659
Cs 0.7317 0.5972 0.1659
Cs 0.9313 0.8341 0.5658
K 0.3750 0.7500 0.6250
Cs 0.1659 0.0972 0.7317
Cs 0.3655 0.9342 0.7683
Cs 0.8655 0.2683 0.4342
Cs 0.0972 0.1659 0.2317
Rb 0.5000 0.0000 0.0000
Cs 0.1345 0.7317 0.5658
Rb 0.2500 0.8750 0.1250
K 0.2500 0.1250 0.3750
Cs 0.6345 0.0658 0.2317
Cs 0.4313 0.3655 0.5972
K 0.6250 0.2500 0.3750
Rb 0.1250 0.3750 0.2500
Cs 0.7317 0.1345 0.0658
Rb 0.0000 0.0000 0.0000
Rb 0.6250 0.8750 0.2500
Rb 0.0000 0.5000 0.5000
Cs 0.3341 0.5658 0.4313
Cs 0.6659 0.2317 0.5972
K 0.7500 0.8750 0.6250
Cs 0.5972 0.8655 0.4313
Cs 0.2317 0.5658 0.6345
Cs 0.7683 0.3341 0.9028
K 0.6250 0.3750 0.7500
Rb 0.8750 0.6250 0.7500

No. 14
Compound: ZnCrRu2
Source: Alexandria
Functional: GGA-PBE
Structure: optimized geometry

Calculated values
total moment = 0.92 Bohr magnetons per cell
energy of formation = 0.1507 eV per atom
D(E_F) = 0.927 states/eV per atom
crystal system = orthorhombic

a = 5.0093 Å, b = 5.0093 Å, c = 5.0093 Å
α = 146.56°, β = 126.67°, γ = 64.43°
Atoms (fractional coordinates):
Ru 0.0169 0.0169 0.0000
Cr 0.2500 0.7500 0.5000
Zn 0.7500 0.2500 0.5000
Ru 0.4831 0.4831 0.0000

No. 15
Compound: Ac2InCuS6
Source: Alexandria
Functional: GGA-PBE
Structure: optimized geometry

Calculated values
total moment = 0.00 Bohr magnetons per cell
uncorrected formation energy = -11.97 eV/f.u.
crystal system = monoclinic

a = 6.4222 Å, b = 7.8407 Å, c = 9.4940 Å
α = 90.00°, β = 89.34°, γ = 90.00°
Atoms (fractional coordinates):
Cu 0.5000 0.0000 0.5000
S 0.2016 0.1601 0.4566
In 0.0000 0.5000 0.5000
Cu 0.0000 0.5000 0.0000
S 0.7016 0.3399 0.9566
S 0.1835 0.1628 0.0465
Ac 0.4539 0.3813 0.2469
Ac 0.5461 0.6187 0.7531
S 0.1020 0.4949 0.7706
S 0.6835 0.3372 0.5465
S 0.3980 0.9949 0.7294
S 0.8165 0.8372 0.9535
S 0.2984 0.6601 0.0434
Ac 0.0461 0.8813 0.2531
In 0.5000 0.0000 0.0000
S 0.8980 0.5051 0.2294
S 0.3165 0.6628 0.4535
S 0.7984 0.8399 0.5434
S 0.6020 0.0051 0.2706
Ac 0.9539 0.1187 0.7469

No. 16
Compound: LiNdPbCl6
Source: Alexandria
Functional: GGA-PBE
Structure: optimized geometry

Calculated values
total moment = 0.00 Bohr magnetons per cell
D(E_F) = 0.000 states/eV per atom
uncorrected formation energy = -16.05 eV/f.u.
crystal system = trigonal

a = 6.8692 Å, b = 6.8692 Å, c = 12.6802 Å
α = 90.00°, β = 90.00°, γ = 120.00°
Atoms (fractional coordinates):
Cl 0.6558 0.0146 0.3684
Cl 0.9854 0.6412 0.3684
Cl 0.6558 0.6412 0.1316
Nd 0.6667 0.3333 0.7500
Cl 0.6412 0.9854 0.8684
Li 0.6667 0.3333 0.2500
Cl 0.3442 0.9854 0.6316
Li 0.3333 0.6667 0.7500
Cl 0.6412 0.6558 0.6316
Cl 0.9854 0.3442 0.1316
Pb 0.0000 0.0000 0.0000
Cl 0.3588 0.0146 0.1316
Cl 0.3588 0.3442 0.3684
Cl 0.0146 0.3588 0.6316
Nd 0.3333 0.6667 0.2500
Cl 0.0146 0.6558 0.8684
Pb 0.0000 0.0000 0.5000
Cl 0.3442 0.3588 0.8684

No. 17
Compound: DyAs3Pd3
Source: Alexandria
Functional: GGA-PBE
Structure: optimized geometry

Calculated values
total moment = 0.00 Bohr magnetons per cell
energy of formation = -0.2190 eV per atom
D(E_F) = 0.664 states/eV per atom
crystal system = cubic

a = 6.8188 Å, b = 6.8188 Å, c = 6.8188 Å
α = 90.00°, β = 90.00°, γ = 90.00°
Atoms (fractional coordinates):
Pd 0.7500 0.0000 0.5000
As 0.0000 0.2500 0.5000
Pd 0.0000 0.5000 0.2500
As 0.0000 0.7500 0.5000
Pd 0.5000 0.7500 0.0000
Dy 0.0000 0.0000 0.0000
Dy 0.5000 0.5000 0.5000
As 0.2500 0.5000 0.0000
As 0.7500 0.5000 0.0000
Pd 0.2500 0.0000 0.5000
Pd 0.0000 0.5000 0.7500
Pd 0.5000 0.2500 0.0000
As 0.5000 0.0000 0.7500
As 0.5000 0.0000 0.2500

No. 18
Compound: Ho4Te2SN2
Source: Alexandria
Functional: GGA-PBE
Structure: optimized geometry

Calculated values
total moment = 0.00 Bohr magnetons per cell
D(E_F) = 0.027 states/eV per atom
uncorrected formation energy = -14.98 eV/f.u.
crystal system = monoclinic

a = 3.9622 Å, b = 7.8621 Å, c = 7.1949 Å
α = 106.06°, β = 90.00°, γ = 104.59°
Atoms (fractional coordinates):
Te 0.1326 0.2652 0.5358
Ho 0.4538 0.9076 0.2245
N 0.3253 0.6507 0.0120
Ho 0.7905 0.5810 0.8515
Ho 0.2095 0.4190 0.1485
Ho 0.5462 0.0924 0.7755
S 0.0000 0.0000 0.0000
N 0.6747 0.3493 0.9880
Te 0.8674 0.7348 0.4642

No. 19
Compound: K3HfTc
Source: Alexandria
Functional: GGA-PBE
Structure: optimized geometry

Calculated values
total moment = 3.94 Bohr magnetons per cell
energy of formation = 2.3634 eV per atom
D(E_F) = 4.656 states/eV per atom
energy relative to the lowest polymorph listed for this composition = 0.1301 eV/atom
crystal system = cubic

a = 6.6764 Å, b = 6.6764 Å, c = 6.6764 Å
α = 90.00°, β = 90.00°, γ = 90.00°
Atoms (fractional coordinates):
K 0.0000 0.5000 0.0000
K 0.5000 0.0000 0.0000
Tc 0.5000 0.5000 0.5000
Hf 0.0000 0.0000 0.0000
K 0.0000 0.0000 0.5000

No. 20
Compound: LiEr2Pd2
Source: Alexandria
Functional: GGA-PBE
Structure: optimized geometry

Calculated values
total moment = 0.00 Bohr magnetons per cell
energy of formation = -0.7222 eV per atom
D(E_F) = 0.396 states/eV per atom
crystal system = tetragonal

a = 3.7525 Å, b = 7.5777 Å, c = 7.5777 Å
α = 90.00°, β = 90.00°, γ = 90.00°
Atoms (fractional coordinates):
Er 0.0000 0.3351 0.6649
Pd 0.5000 0.6354 0.6354
Li 0.5000 0.0000 0.5000
Pd 0.5000 0.8646 0.1354
Er 0.0000 0.8351 0.8351
Pd 0.5000 0.1354 0.8646
Er 0.0000 0.6649 0.3351
Er 0.0000 0.1649 0.1649
Pd 0.5000 0.3646 0.3646
Li 0.5000 0.5000 0.0000